(1)
Entry from the Alexandria database: an optimized crystal structure of Pr6Al3S14 (PBE-GGA).

The structure in POSCAR format:
```
Pr6Al3S14
1.0
10.165 0.000 0.000
-5.082 8.803 0.000
0.000 0.000 5.922
Pr Al S
6 3 14
Direct
0.034 0.566 0.000 Pr
0.297 0.099 0.497 Pr
0.434 0.469 0.000 Pr
0.531 0.966 0.000 Pr
0.802 0.703 0.497 Pr
0.901 0.198 0.497 Pr
0.000 0.000 0.918 Al
0.333 0.667 0.416 Al
0.667 0.333 0.267 Al
0.000 0.000 0.292 S
0.082 0.849 0.771 S
0.151 0.234 0.771 S
0.185 0.433 0.268 S
0.248 0.815 0.268 S
0.333 0.667 0.791 S
0.433 0.187 0.040 S
0.517 0.418 0.495 S
0.567 0.752 0.268 S
0.582 0.099 0.495 S
0.754 0.567 0.040 S
0.766 0.918 0.771 S
0.813 0.246 0.040 S
0.901 0.483 0.495 S
```

Calculated values
As for the calculated volume: 23.04 Å³/atom. For the energy, the calculation gives -136.42 eV per cell. The formation energy (no corrections) is -1.6841 eV per atom. The value obtained for the total magnetization is 0.000 μB per cell.

=====

(2)
Entry from the Alexandria database: an optimized crystal structure of SiGe2Te8 (PBE-GGA).

The structure in POSCAR format:
```
SiGe2Te8
1.0
5.729 -5.996 0.000
5.729 5.996 0.000
-1.052 0.000 5.770
Si Ge Te
1 2 8
Direct
0.000 0.000 0.000 Si
0.224 0.224 0.653 Ge
0.776 0.776 0.347 Ge
0.102 0.755 0.278 Te
0.230 0.230 0.194 Te
0.245 0.898 0.722 Te
0.472 0.472 0.760 Te
0.528 0.528 0.240 Te
0.755 0.102 0.278 Te
0.770 0.770 0.806 Te
0.898 0.245 0.722 Te
```

Calculated values
As for the calculated volume: 36.04 Å³/atom. For the energy, the calculation gives -38.91 eV per cell. The formation energy (no corrections) is 0.0800 eV per atom. The value obtained for the total magnetization is 0.000 μB per cell.

=====

(3)
Entry from the Alexandria database: an optimized crystal structure of AsPRhAu2 (PBE-GGA).

The structure in POSCAR format:
```
AsPRhAu2
1.0
4.903 -1.660 0.000
4.903 1.660 0.000
-2.351 0.000 5.669
As P Rh Au
1 1 1 2
Direct
0.000 0.000 0.000 As
0.731 0.731 0.525 P
0.293 0.293 0.803 Rh
0.519 0.519 0.622 Au
0.822 0.822 0.216 Au
```

Calculated values
As for the calculated volume: 18.45 Å³/atom. For the energy, the calculation gives -24.29 eV per cell. For the energy relative to the elements, the calculation gives -0.06 eV per atom. The value obtained for the total magnetization is 0.000 μB per cell. The value obtained for the energy above the most stable polymorph in this dataset is 0.063 eV per atom.

=====

(4)
Entry from the Alexandria database: an optimized crystal structure of V2ReIr2 (PBE-GGA).

The structure in POSCAR format:
```
V2ReIr2
1.0
7.265 0.000 0.000
0.000 7.265 0.000
0.000 0.000 2.760
V Re Ir
4 2 4
Direct
0.167 0.333 0.000 V
0.333 0.833 0.000 V
0.667 0.167 0.000 V
0.833 0.667 0.000 V
0.000 0.000 0.500 Re
0.500 0.500 0.500 Re
0.132 0.632 0.500 Ir
0.368 0.132 0.500 Ir
0.632 0.868 0.500 Ir
0.868 0.368 0.500 Ir
```

Calculated values
As for the calculated volume: 14.57 Å³/atom. For the energy, the calculation gives -98.62 eV per cell. For the energy relative to the elements, the calculation gives -0.18 eV per atom. The value obtained for the total magnetization is 0.000 μB per cell. The value obtained for the energy above the most stable polymorph in this dataset is 0.000 eV per atom.

=====

(5)
Entry from the Alexandria database: an optimized crystal structure of CePr4Y3S8 (PBE-GGA).

The structure in POSCAR format:
```
CePr4Y3S8
1.0
4.011 2.316 6.619
-4.011 2.316 6.619
0.000 -4.631 6.619
Ce Pr Y S
1 4 3 8
Direct
0.000 0.000 0.000 Ce
0.000 0.000 0.500 Pr
0.000 0.500 0.000 Pr
0.500 0.000 0.000 Pr
0.500 0.500 0.500 Pr
0.000 0.500 0.500 Y
0.500 0.000 0.500 Y
0.500 0.500 0.000 Y
0.247 0.247 0.741 S
0.247 0.741 0.247 S
0.256 0.256 0.256 S
0.259 0.753 0.753 S
0.741 0.247 0.247 S
0.744 0.744 0.744 S
0.753 0.259 0.753 S
0.753 0.753 0.259 S
```

Calculated values
As for the calculated volume: 23.05 Å³/atom. For the energy, the calculation gives -109.78 eV per cell. The formation energy (no corrections) is -2.0197 eV per atom. The value obtained for the total magnetization is 0.310 μB per cell.